Zn3Cd | meta-GGA SCAN | single point on PBEsol structure

a b c (Å): 2.9314 4.8596 4.8596
angles (deg): 112.03 90.00 90.00
Last column: nearest neighbours and their distance in Å.
Fractional coordinates of all 4 atoms:
Zn 0.5000 0.0000 0.5000  8 Zn 2.72-2.93, 4 Cd 2.84
Zn 0.5000 0.5000 0.0000  8 Zn 2.72-2.93, 4 Cd 2.84
Zn 0.0000 0.5000 0.5000  2 Cd 2.72, 10 Zn 2.84-2.93
Cd 0.0000 0.0000 0.0000  10 Zn 2.72-2.84, 2 Cd 2.93

Summary:
Formation energy: 11.1 kJ/mol of atoms
D(E_F): 0.280 states/eV/atom

ZnCd2 | meta-GGA SCAN | single point on PBEsol structure

a b c (Å): 2.8301 6.1112 7.3557
angles (deg): 111.87 90.00 103.39
Last column: nearest neighbours and their distance in Å.
Fractional coordinates of all 6 atoms:
Zn 0.0502 0.1003 0.6156  4 Zn 2.75-2.83, 7 Cd 2.87-3.04
Zn 0.7253 0.4505 0.9082  4 Zn 2.75-2.83, 6 Cd 2.86-2.98
Cd 0.0334 0.0668 0.0011  6 Cd 2.83-2.93, 3 Zn 2.92-2.98
Cd 0.3657 0.7315 0.2598  3 Cd 2.83-3.14, 4 Zn 2.86-3.04
Cd 0.6478 0.2956 0.3689  7 Cd 2.83-3.14, 2 Zn 2.87
Cd 0.3443 0.6886 0.6796  6 Cd 2.83-2.93, 4 Zn 2.94-3.02

Summary:
Formation energy: 7.1 kJ/mol of atoms
D(E_F): 0.250 states/eV/atom

ZnCd2 | meta-GGA SCAN | single point on PBEsol structure

a b c (Å): 3.1797 4.5730 4.5730
angles (deg): 120.00 90.00 90.00
Last column: nearest neighbours and their distance in Å.
Fractional coordinates of all 3 atoms:
Cd 0.7345 0.6667 0.3333  3 Zn 2.77, 3 Cd 3.03
Cd 0.2655 0.3333 0.6667  3 Zn 2.77, 3 Cd 3.03
Zn 0.0000 0.0000 0.0000  6 Cd 2.77

Summary:
Formation energy: 13.1 kJ/mol of atoms
D(E_F): 0.282 states/eV/atom

Zn3Cd | meta-GGA SCAN | single point on PBEsol structure

a b c (Å): 2.6959 4.7080 5.7636
angles (deg): 114.11 103.53 90.00
Last column: nearest neighbours and their distance in Å.
Fractional coordinates of all 4 atoms:
Zn 0.7594 0.1028 0.5187  8 Zn 2.70-2.88, 1 Cd 2.96
Zn 0.5000 0.4917 0.0000  6 Zn 2.70-2.88, 4 Cd 2.70-2.73
Zn 0.2406 0.5841 0.4813  8 Zn 2.70-2.88, 1 Cd 2.96
Cd 0.0000 0.9881 0.0000  2 Cd 2.70, 6 Zn 2.70-2.96

Summary:
Formation energy: 8.2 kJ/mol of atoms
D(E_F): 0.212 states/eV/atom

Zn5Cd | meta-GGA SCAN | single point on PBEsol structure

a b c (Å): 4.2995 5.0843 5.0843
angles (deg): 120.00 90.00 90.00
Last column: nearest neighbours and their distance in Å.
Fractional coordinates of all 6 atoms:
Zn 0.5000 0.0000 0.5000  8 Zn 2.54-2.60
Zn 0.0000 0.6667 0.3333  6 Zn 2.60
Zn 0.5000 0.5000 0.5000  8 Zn 2.54-2.60
Zn 0.5000 0.5000 0.0000  8 Zn 2.54-2.60
Zn 0.0000 0.3333 0.6667  6 Zn 2.60
Cd 0.0000 0.0000 0.0000  6 Zn 2.94

Summary:
Formation energy: 8.7 kJ/mol of atoms
D(E_F): 0.315 states/eV/atom

Zn3Cd | meta-GGA SCAN | single point on PBEsol structure

a b c (Å): 2.8421 2.8421 7.8853
angles (deg): 90.00 90.00 90.00
Last column: nearest neighbours and their distance in Å.
Fractional coordinates of all 4 atoms:
Zn 0.0000 0.0000 0.5000  12 Zn 2.68-2.84
Zn 0.5000 0.5000 0.2747  8 Zn 2.68-2.84, 4 Cd 2.95
Zn 0.5000 0.5000 0.7253  8 Zn 2.68-2.84, 4 Cd 2.95
Cd 0.0000 0.0000 0.0000  4 Cd 2.84, 8 Zn 2.95

Summary:
Formation energy: 8.8 kJ/mol of atoms
D(E_F): 0.322 states/eV/atom

ZrZnCd2 | meta-GGA SCAN | single point on PBEsol structure

a b c (Å): 4.7266 4.7266 4.7266
angles (deg): 60.00 60.00 60.00
Last column: nearest neighbours and their distance in Å.
Fractional coordinates of all 4 atoms:
Cd 0.0000 0.0000 0.0000  4 Cd 2.89, 4 Zr 2.89
Cd 0.7500 0.7500 0.7500  4 Zn 2.89, 4 Cd 2.89
Zn 0.5000 0.5000 0.5000  4 Zr 2.89, 4 Cd 2.89
Zr 0.2500 0.2500 0.2500  4 Cd 2.89, 4 Zn 2.89

Summary:
Formation energy: -7.1 kJ/mol of atoms
D(E_F): 0.327 states/eV/atom

ZrZnCd2 | meta-GGA SCAN | single point on PBEsol structure

a b c (Å): 3.2252 4.7307 5.7711
angles (deg): 114.20 106.23 90.00
Last column: nearest neighbours and their distance in Å.
Fractional coordinates of all 4 atoms:
Cd 0.7725 0.7725 0.5451  2 Zn 2.79, 4 Cd 2.90
Cd 0.2275 0.2275 0.4549  2 Zn 2.79, 4 Cd 2.90
Zn 0.5000 0.0000 0.0000  4 Cd 2.79, 4 Zr 2.86
Zr 0.0000 0.5000 0.0000  4 Zn 2.86, 4 Cd 3.17

Summary:
Formation energy: -4.0 kJ/mol of atoms
D(E_F): 0.768 states/eV/atom

ZrZnCd | meta-GGA SCAN | single point on PBEsol structure

a b c (Å): 3.0996 4.5471 4.5471
angles (deg): 120.00 90.00 90.00
Last column: nearest neighbours and their distance in Å.
Fractional coordinates of all 3 atoms:
Zn 0.0000 0.3333 0.6667  3 Cd 2.63
Zr 0.5000 0.6667 0.3333  6 Zn 3.05, 6 Cd 3.05, 2 Zr 3.10
Cd 0.0000 0.0000 0.0000  3 Zn 2.63

Summary:
Formation energy: -23.0 kJ/mol of atoms
D(E_F): 0.741 states/eV/atom

ZrZnCd2 | meta-GGA SCAN | single point on PBEsol structure

a b c (Å): 4.1479 4.1479 4.4106
angles (deg): 90.00 90.00 90.00
Last column: nearest neighbours and their distance in Å.
Fractional coordinates of all 4 atoms:
Zn 0.5000 0.5000 0.5000  4 Zr 2.93, 8 Cd 3.03
Zr 0.0000 0.0000 0.5000  4 Zn 2.93, 8 Cd 3.03
Cd 0.0000 0.5000 0.0000  4 Cd 2.93, 4 Zr 3.03, 4 Zn 3.03
Cd 0.5000 0.0000 0.0000  4 Cd 2.93, 4 Zr 3.03, 4 Zn 3.03

Summary:
Formation energy: -18.2 kJ/mol of atoms
D(E_F): 0.655 states/eV/atom